Below is crystalline ReTc2 at its relaxed geometry, with properties calculated at the PBE-GGA level.

a b c (Å): 3.8951 3.8951 23.3333
angles (deg): 90.00 90.00 90.00
Space group I4_1/amd (No. 141, origin choice 2)
Symmetry-distinct sites (fractional):
Re  0.0000  0.2500  0.2916 x8
Tc  0.0000  0.2500  0.1247 x8
Tc  0.0000  0.2500  0.7918 x8

Values from the calculation:
E_form, meV/atom: 68
Total moment, μB per cell: 0.00
Mass density, g cm⁻³: 14.34
Energy above the lowest structure with this stoichiometry, eV per atom: 0.0686
Raw total energy, eV per atom: -10.99